La5Ho4Th: relaxed, PBE-GGA.

Cell and atoms, written as POSCAR:
```
La5Ho4Th
1.0
-0.0749 4.1120 1.0972
-4.2167 0.0766 -0.5752
-2.5572 -4.8759 18.0987
La Ho Th
5 4 1
Cartesian
-4.4617 -2.3214 16.6516 La
-2.3872 1.6341 1.9692 La
-2.9096 0.6381 5.6662 La
-3.9393 -1.3254 12.9545 La
-3.4245 -0.3437 9.3104 La
-1.5382 -2.9329 10.8867 Ho
-1.0190 -1.9430 7.2120 Ho
-0.4930 -0.9400 3.4892 Ho
-2.0642 -3.9359 14.6095 Ho
0.0000 0.0000 0.0000 Th
```

Calculated values
The formation energy is 0.1073 eV/atom. The distance to the lowest polymorph of the same formula is 0.026 eV per atom. The value obtained for the mass density is 7.69 g cm⁻³. As for the volume: 343 Å³ per cell.